NaH2Br | GGA-PBE | optimized geometry

Values from the calculation:
space-group type = Fm-3m (225)
electronic total energy = -8.12 eV/f.u.
DOS at the Fermi energy = 0.589 states/eV/f.u.
total moment = 1.9 μB/cell

Lattice parameters (Å, degrees): 4.512 4.512 4.512 60.00 60.00 60.00
Site moments in Bohr magnetons follow the coordinates.
Fractional coordinates of all 4 atoms:
1 Br 0.500 0.500 0.500  0.34
2 H 0.750 0.750 0.750  0.32
3 H 0.250 0.250 0.250  0.32
4 Na 0.000 0.000 0.000  0.00